Computed, not measured: a geometry-optimized NaCuPO4 structure at the PBE level of DFT.

abc: 5.1826 5.5687 6.2226
angles: 90.00 105.36 90.00
Closest atoms and distances in Å follow each position.
Positions (direct):
O: 0.4476 0.7500 0.5723  1 P 1.56
O: 0.5473 0.2500 0.8195  1 P 1.56
O: 0.9355 0.0289 0.7087  1 P 1.56
O: 0.0645 0.9711 0.2913  1 P 1.56
O: 0.4527 0.7500 0.1805  1 P 1.56
O: 0.9355 0.4711 0.7087  1 P 1.56
O: 0.0645 0.5289 0.2913  1 P 1.56
O: 0.5524 0.2500 0.4277  1 P 1.56
Na: 0.7148 0.7500 0.9377  2 O 2.28-2.33
Na: 0.2852 0.2500 0.0623  2 O 2.28-2.33
P: 0.2571 0.7500 0.3320  4 O 1.56
P: 0.7429 0.2500 0.6680  4 O 1.56
Cu: 0.7806 0.7500 0.4644  4 O 2.01-2.17
Cu: 0.2194 0.2500 0.5356  4 O 2.01-2.17

Output
E_tot ... -6.032 eV/atom
ΔE to the lowest computed polymorph ... 106 meV per atom
Density of states at the Fermi level ... 1.88 states/eV/cell
Raw formation energy ... -1116 kJ/mol of formula units



Computed, not measured: a geometry-optimized Nb3CdOs structure at the PBE level of DFT.

abc: 4.8800 4.8800 4.8800
angles: 90.00 90.00 90.00
Closest atoms and distances in Å follow each position.
Positions (direct):
Nb: 0.5000 0.0000 0.0000  2 Os 2.44
Nb: 0.0000 0.5000 0.0000  2 Os 2.44
Nb: 0.0000 0.0000 0.5000  2 Os 2.44
Cd: 0.5000 0.5000 0.5000  12 Nb 3.45
Os: 0.0000 0.0000 0.0000  6 Nb 2.44

Output
E_tot ... -7.551 eV/atom
Formation energy ... 0.920 eV/atom
ΔE to the lowest computed polymorph ... 0 meV per atom
Density of states at the Fermi level ... 4.01 states/eV/cell



Computed, not measured: a geometry-optimized SrMgIn4 structure at the PBE level of DFT.

abc: 6.2454 6.2454 6.2454
angles: 60.00 60.00 60.00
Closest atoms and distances in Å follow each position.
Positions (direct):
In: 0.3754 0.3754 0.3754  6 In 3.11-3.13
In: 0.8739 0.3754 0.3754  6 In 3.11-3.13
In: 0.3754 0.3754 0.8739  6 In 3.11-3.13
In: 0.3754 0.8739 0.3754  6 In 3.11-3.13
Mg: 0.7500 0.7500 0.7500  12 In 3.66, 4 Sr 3.82
Sr: 0.0000 0.0000 0.0000  12 In 3.66, 4 Mg 3.82

Output
E_tot ... -2.497 eV/atom
Formation energy ... -0.126 eV/atom
ΔE to the lowest computed polymorph ... 104 meV per atom
Density of states at the Fermi level ... 4.54 states/eV/cell



Computed, not measured: a geometry-optimized Ca2FeSe structure at the PBE level of DFT.

abc: 3.5410 3.5410 8.1454
angles: 90.00 90.00 89.97
Closest atoms and distances in Å follow each position.
Positions (direct):
Ca: 0.0000 0.0000 0.9197  1 Fe 2.94, 4 Se 3.09
Ca: 0.5000 0.5000 0.3234  1 Se 3.05, 4 Fe 3.15
Fe: 0.0000 0.0000 0.5589  4 Se 2.75, 1 Ca 2.94
Se: 0.5000 0.5000 0.6979  4 Fe 2.75, 1 Ca 3.05

Output
E_tot ... -4.200 eV/atom
ΔE to the lowest computed polymorph ... 297 meV per atom
Density of states at the Fermi level ... 3.35 states/eV/cell
Raw formation energy ... -82 kJ/mol of formula units